1.
A relaxed Ho3Th2Rh2 crystal. Source: Alexandria, functional PBE-GGA.

Cell lengths 3.7214, 6.3222, 8.7592 Å; angles 71.87, 77.74, 72.88 degrees
Sites, in units of the cell vectors:
Th (0.1705, 0.4781, 0.1809)
Th (0.8295, 0.5219, 0.8191)
Rh (0.1773, 0.8852, 0.7602)
Rh (0.8227, 0.1148, 0.2398)
Ho (0.5000, 0.0000, 0.0000)
Ho (0.3848, 0.8007, 0.4297)
Ho (0.6152, 0.1993, 0.5703)

Results
space-group type: C2/m

***

2.
A relaxed HoThRh2 crystal. Source: Alexandria, functional PBE-GGA.

Cell lengths 4.9524, 4.9524, 4.9524 Å; angles 60.00, 60.00, 60.00 degrees
Sites, in units of the cell vectors:
Th (0.0000, 0.0000, 0.0000)
Ho (0.5000, 0.5000, 0.5000)
Rh (0.2500, 0.2500, 0.2500)
Rh (0.7500, 0.7500, 0.7500)

Results
polymorph energy (0 for the lowest one): 111 meV per atom
space-group type: Fm-3m

***

3.
A relaxed HoThRh2 crystal. Source: Alexandria, functional PBE-GGA.

Cell lengths 5.6159, 5.7055, 11.4981 Å; angles 80.15, 90.00, 90.00 degrees
Sites, in units of the cell vectors:
Th (0.7500, 0.5314, 0.3888)
Th (0.2500, 0.4686, 0.6112)
Th (0.2500, 0.0314, 0.8888)
Th (0.7500, 0.9686, 0.1112)
Ho (0.7499, 0.5501, 0.8919)
Ho (0.7499, 0.9499, 0.6081)
Ho (0.2501, 0.4499, 0.1081)
Ho (0.2501, 0.0501, 0.3919)
Rh (0.2499, 0.5446, 0.8503)
Rh (0.2500, 0.5668, 0.3549)
Rh (0.7501, 0.0446, 0.3503)
Rh (0.7500, 0.0668, 0.8549)
Rh (0.2499, 0.9554, 0.6497)
Rh (0.2500, 0.9332, 0.1451)
Rh (0.7501, 0.4554, 0.1497)
Rh (0.7500, 0.4332, 0.6451)

Results
polymorph energy (0 for the lowest one): 107 meV per atom
space-group type: C2/m

***

| no. | DFT formation energy (eV/atom) |
| --- | --- |
| 1 | -0.5673 |
| 2 | -0.8177 |
| 3 | -0.8215 |